1.
This record from the Alexandria database describes an optimized crystal structure of ScZn2. The functional is PBE-GGA.

The structure belongs to space group I4/mmm (No. 139); the cell edges are 3.075, 3.075 and 10.948 Å and the angles 90.00°, 90.00° and 90.00°. The inequivalent atoms are Sc at (0.000, 0.000, 0.000) and Zn at (0.000, 0.000, 0.321).

=====

2.
This record from the Alexandria database describes an optimized crystal structure of Sc3Zn2. The functional is PBE-GGA.

The structure belongs to space group Fdd2 (No. 43); the cell edges are 9.780, 14.314 and 5.756 Å and the angles 90.00°, 90.00° and 90.00°. The inequivalent atoms are Sc at (0.000, 0.000, 0.000), Sc at (0.032, 0.102, 0.499) and Zn at (0.020, 0.203, 0.970).

As for the excess energy over the best structure of this formula in the dataset: 0.135 eV per atom.

=====

3.
This record from the Alexandria database describes an optimized crystal structure of ScZn2. The functional is PBE-GGA.

The structure belongs to space group Immm (No. 71); the cell edges are 2.990, 4.289 and 8.262 Å and the angles 90.00°, 90.00° and 90.00°. The inequivalent atoms are Sc at (0.000, 0.000, 0.000) and Zn at (0.000, 0.000, 0.337).

=====

4.
This record from the Alexandria database describes an optimized crystal structure of Sc3Zn. The functional is PBE-GGA.

The structure belongs to space group Cmmm (No. 65); the cell edges are 6.380, 8.008 and 3.409 Å and the angles 90.00°, 90.00° and 90.00°. The inequivalent atoms are Sc at (0.000, 0.000, 0.000), Sc at (0.250, 0.250, 0.500) and Zn at (0.000, 0.500, 0.000).

=====

5.
This record from the Alexandria database describes an optimized crystal structure of ScZn2. The functional is PBE-GGA.

The structure belongs to space group Cmcm (No. 63); the cell edges are 4.092, 11.460 and 4.413 Å and the angles 90.00°, 90.00° and 90.00°. The inequivalent atoms are Sc at (0.000, 0.094, 0.250), Zn at (0.000, 0.239, 0.750) and Zn at (0.000, 0.407, 0.250).

=====

6.
This record from the Alexandria database describes an optimized crystal structure of ScZn3. The functional is PBE-GGA.

The structure belongs to space group Pmmm (No. 47); the cell edges are 3.052, 4.409 and 5.238 Å and the angles 90.00°, 90.00° and 90.00°. The inequivalent atoms are Sc at (0.000, 0.000, 0.000), Zn at (0.500, 0.000, 0.500) and Zn at (0.500, 0.500, 0.246).

=====

7.
This record from the Alexandria database describes an optimized crystal structure of Sc3Zn. The functional is PBE-GGA.

The structure belongs to space group R-3m (No. 166, hexagonal axes); the cell edges are 3.2781, 3.2781 and 29.0290 Å and the angles 90.00°, 90.00° and 120.00°. The inequivalent atoms are Sc at (0.0000, 0.0000, 0.0000), Sc at (0.0000, 0.0000, 0.2420) and Zn at (0.0000, 0.0000, 0.5000).

=====

8.
This record from the Alexandria database describes an optimized crystal structure of ScZn2. The functional is PBE-GGA.

The structure belongs to space group Pnma (No. 62); the cell edges are 5.683, 4.452 and 8.201 Å and the angles 90.00°, 90.00° and 90.00°. The inequivalent atoms are Sc at (0.185, 0.250, 0.081), Zn at (0.028, 0.250, 0.732) and Zn at (0.178, 0.250, 0.413).

=====

9.
This record from the Alexandria database describes an optimized crystal structure of Sc3Zn. The functional is PBE-GGA.

The structure belongs to space group Pmmm (No. 47); the cell edges are 3.282, 4.250 and 6.203 Å and the angles 90.00°, 90.00° and 90.00°. The inequivalent atoms are Sc at (0.000, 0.000, 0.000), Sc at (0.500, 0.500, 0.260) and Zn at (0.000, 0.000, 0.500).

=====

10.
This record from the Alexandria database describes an optimized crystal structure of Sc13Zn2. The functional is PBE-GGA.

The structure belongs to space group P-1 (No. 2); the cell edges are 6.077, 7.920 and 8.290 Å and the angles 63.06°, 89.80° and 79.30°. The inequivalent atoms are Sc at (0.000, 0.000, 0.000), Sc at (0.029, 0.500, 0.707), Sc at (0.238, 0.014, 0.570), Sc at (0.259, 0.212, 0.152), Sc at (0.275, 0.651, 0.960), Sc at (0.445, 0.173, 0.815), Sc at (0.481, 0.393, 0.379) and Zn at (0.151, 0.775, 0.362).

=====

11.
This record from the Alexandria database describes an optimized crystal structure of Sc5Zn24. The functional is PBE-GGA.

The structure belongs to space group I-43m (No. 217); the cell edges are 9.767, 9.767 and 9.767 Å and the angles 90.00°, 90.00° and 90.00°. The inequivalent atoms are Sc at (0.000, 0.000, 0.000), Sc at (0.192, 0.192, 0.192), Zn at (0.027, 0.353, 0.647) and Zn at (0.089, 0.089, 0.719).

=====

12.
This record from the Alexandria database describes an optimized crystal structure of ScZn6. The functional is PBE-GGA.

The structure belongs to space group Pm-3m (No. 221); the cell edges are 5.862, 5.862 and 5.862 Å and the angles 90.00°, 90.00° and 90.00°. The inequivalent atoms are Sc at (0.000, 0.000, 0.000) and Zn at (0.194, 0.500, 0.500).

As for the excess energy over the best structure of this formula in the dataset: 0.967 eV per atom.

=====

13.
This record from the Alexandria database describes an optimized crystal structure of ScZn3. The functional is PBE-GGA.

The structure belongs to space group Pmma (No. 51); the cell edges are 4.969, 4.154 and 6.514 Å and the angles 90.00°, 90.00° and 90.00°. The inequivalent atoms are Sc at (0.250, 0.000, 0.177), Zn at (0.000, 0.500, 0.500), Zn at (0.250, 0.000, 0.630) and Zn at (0.250, 0.500, 0.880).

=====

14.
This record from the Alexandria database describes an optimized crystal structure of Sc3Zn2. The functional is PBE-GGA.

The structure belongs to space group P4/mmm (No. 123); the cell edges are 3.329, 3.329 and 18.103 Å and the angles 90.00°, 90.00° and 90.00°. The inequivalent atoms are Sc at (0.000, 0.000, 0.000), Sc at (0.000, 0.000, 0.187), Sc at (0.000, 0.000, 0.373), Sc at (0.500, 0.500, 0.500), Zn at (0.500, 0.500, 0.094) and Zn at (0.500, 0.500, 0.280).

As for the excess energy over the best structure of this formula in the dataset: 0.000 eV per atom.

=====

15.
This record from the Alexandria database describes an optimized crystal structure of Sc3Zn4. The functional is PBE-GGA.

The structure belongs to space group P6/mmm (No. 191); the cell edges are 5.8962, 5.8962 and 4.8540 Å and the angles 90.00°, 90.00° and 120.00°. The inequivalent atoms are Sc at (0.0000, 0.5000, 0.0000), Zn at (0.0000, 0.0000, 0.2480) and Zn at (0.3333, 0.6667, 0.5000).

As for the excess energy over the best structure of this formula in the dataset: 0.270 eV per atom.

=====

16.
This record from the Alexandria database describes an optimized crystal structure of Sc3Zn. The functional is PBE-GGA.

The structure belongs to space group Pmm2 (No. 25); the cell edges are 3.082, 3.204 and 9.304 Å and the angles 90.00°, 90.00° and 90.00°. The inequivalent atoms are Sc at (0.000, 0.000, 0.000), Sc at (0.000, 0.500, 0.300), Sc at (0.500, 0.500, 0.749) and Zn at (0.500, 0.000, 0.494).

=====

17.
This record from the Alexandria database describes an optimized crystal structure of Sc3Zn. The functional is PBE-GGA.

The structure belongs to space group P-6m2 (No. 187); the cell edges are 3.3457, 3.3457 and 9.3586 Å and the angles 90.00°, 90.00° and 120.00°. The inequivalent atoms are Sc at (0.0000, 0.0000, 0.0000), Sc at (0.6667, 0.3333, 0.2716) and Zn at (0.0000, 0.0000, 0.5000).

=====

18.
This record from the Alexandria database describes an optimized crystal structure of Sc3Zn. The functional is PBE-GGA.

The structure belongs to space group C2/m (No. 12); the cell edges are 5.060, 10.630 and 7.230 Å and the angles 90.00°, 110.38° and 90.00°. The inequivalent atoms are Sc at (0.129, 0.165, 0.256), Sc at (0.183, 0.500, 0.364) and Zn at (0.000, 0.375, 0.000).

=====

19.
This record from the Alexandria database describes an optimized crystal structure of Sc3Zn2. The functional is PBE-GGA.

The structure belongs to space group P-3m1 (No. 164); the cell edges are 4.6342, 4.6342 and 5.7493 Å and the angles 90.00°, 90.00° and 120.00°. The inequivalent atoms are Sc at (0.0000, 0.0000, 0.0000), Sc at (0.3333, 0.6667, 0.3490) and Zn at (0.3333, 0.6667, 0.8515).

As for the excess energy over the best structure of this formula in the dataset: 0.159 eV per atom.

=====

20.
This record from the Alexandria database describes an optimized crystal structure of ScZn2. The functional is PBE-GGA.

The structure belongs to space group I4/mcm (No. 140); the cell edges are 4.961, 4.961 and 9.318 Å and the angles 90.00°, 90.00° and 90.00°. The inequivalent atoms are Sc at (0.000, 0.000, 0.250) and Zn at (0.177, 0.323, 0.000).

=====

21.
This record from the Alexandria database describes an optimized crystal structure of ScZn3. The functional is PBE-GGA.

The structure belongs to space group P6_3/mmc (No. 194); the cell edges are 5.9039, 5.9039 and 4.3950 Å and the angles 90.00°, 90.00° and 120.00°. The inequivalent atoms are Sc at (0.3333, 0.6667, 0.2500) and Zn at (0.1589, 0.3179, 0.7500).

=====

22.
This record from the Alexandria database describes an optimized crystal structure of ScZn2. The functional is PBE-GGA.

The structure belongs to space group P-3m1 (No. 164); the cell edges are 4.5778, 4.5778 and 5.6975 Å and the angles 90.00°, 90.00° and 120.00°. The inequivalent atoms are Sc at (0.3333, 0.6667, 0.3027), Zn at (0.0000, 0.0000, 0.0000), Zn at (0.0000, 0.0000, 0.5000) and Zn at (0.3333, 0.6667, 0.8148).

=====

23.
This record from the Alexandria database describes an optimized crystal structure of Sc3Zn2. The functional is PBE-GGA.

The structure belongs to space group R-3m (No. 166, hexagonal axes); the cell edges are 3.2897, 3.2897 and 34.0856 Å and the angles 90.00°, 90.00° and 120.00°. The inequivalent atoms are Sc at (0.0000, 0.0000, 0.0000), Sc at (0.0000, 0.0000, 0.2055) and Zn at (0.0000, 0.0000, 0.3969).

As for the excess energy over the best structure of this formula in the dataset: 0.170 eV per atom.

=====

24.
This record from the Alexandria database describes an optimized crystal structure of ScZn3. The functional is PBE-GGA.

The structure belongs to space group I4/mmm (No. 139); the cell edges are 4.300, 4.300 and 14.388 Å and the angles 90.00°, 90.00° and 90.00°. The inequivalent atoms are Sc at (0.000, 0.000, 0.130), Zn at (0.000, 0.000, 0.368), Zn at (0.000, 0.500, 0.000) and Zn at (0.000, 0.500, 0.250).

=====

25.
This record from the Alexandria database describes an optimized crystal structure of ScZn2. The functional is PBE-GGA.

The structure belongs to space group Fm-3m (No. 225); the cell edges are 6.367, 6.367 and 6.367 Å and the angles 90.00°, 90.00° and 90.00°. The inequivalent atoms are Sc at (0.000, 0.000, 0.000) and Zn at (0.250, 0.250, 0.250).

=====

no.,D(E_F) (states/eV/cell),calculated formation energy (eV/atom),density (g/cm3)
1,3.89,-0.256,5.6
2,42.25,-0.151,4.4
3,4.47,-0.141,5.5
4,9.45,-0.047,3.8
5,6.90,-0.275,5.6
6,2.52,-0.203,5.7
7,17.43,-0.053,3.7
8,6.80,-0.306,5.6
9,6.44,-0.070,3.8
10,23.91,-0.023,3.4
11,21.74,-0.220,6.4
12,4.65,0.744,3.6
13,3.33,-0.245,6.0
14,11.14,-0.287,4.4
15,4.17,0.059,4.5
16,5.28,0.090,3.6
17,4.94,-0.037,3.7
18,23.94,0.002,3.6
19,6.00,-0.128,4.1
20,10.89,-0.044,5.1
21,4.66,-0.300,6.0
22,2.51,-0.306,5.6
23,14.50,-0.117,4.1
24,7.73,-0.252,6.0
25,12.09,0.217,4.5